No. 1
{
  "formula": "NdY2Al2Ga2",
  "functional": "PBE-GGA",
  "state": "relaxed",
  "lattice": [[-0.6988, 0.5357, -4.1851], [-0.7611, -3.3912, -2.4922], [-11.2686, 0.0507, -0.2972]],
  "species": ["Al", "Al", "Y", "Y", "Nd", "Ga", "Ga"],
  "frac_coords": [[0.6055, 0.6055, 0.1835], [0.3945, 0.3945, 0.8165], [0.8742, 0.8742, 0.3775], [0.1258, 0.1258, 0.6225], [0.0000, 0.0000, 0.0000], [0.7395, 0.7395, 0.7814], [0.2605, 0.2605, 0.2186]],
  "formation_enthalpy_0k_ev_per_atom": -0.423
}

No. 2
{
  "formula": "TlW",
  "functional": "PBE-GGA",
  "state": "relaxed",
  "lattice": [[-2.9778, -2.4238, 1.6254], [3.9592, -0.4563, 1.2252], [-0.8800, 3.9827, 4.3268]],
  "species": ["Tl", "Tl", "W", "W"],
  "frac_coords": [[0.0000, 0.0000, 0.0000], [0.0000, 0.0000, 0.5000], [0.3333, 0.6667, 0.2500], [0.6667, 0.3333, 0.7500]],
  "formation_enthalpy_0k_ev_per_atom": 2.037,
  "de_polymorph_mev_per_atom": 1413
}

No. 3
{
  "formula": "TbLuIr2",
  "functional": "PBE-GGA",
  "state": "relaxed",
  "lattice": [[-0.4995, -0.0543, -4.7823], [1.1770, -3.9381, -2.4958], [-3.4402, -2.6788, -2.0278]],
  "species": ["Ir", "Ir", "Tb", "Lu"],
  "frac_coords": [[0.7500, 0.7500, 0.7500], [0.2500, 0.2500, 0.2500], [0.0000, 0.0000, 0.0000], [0.5000, 0.5000, 0.5000]],
  "formation_enthalpy_0k_ev_per_atom": -0.858,
  "de_polymorph_mev_per_atom": 9
}

No. 4
{
  "formula": "Pm7HgPb2",
  "functional": "PBE-GGA",
  "state": "relaxed",
  "lattice": [[5.4112, 0.0000, 0.0000], [-2.7056, 4.6863, 0.0000], [0.0000, 0.0000, 13.0534]],
  "species": ["Pb", "Pb", "Pm", "Pm", "Pm", "Pm", "Pm", "Pm", "Pm", "Hg"],
  "frac_coords": [[0.3333, 0.6667, 0.6952], [0.6667, 0.3333, 0.3519], [0.0000, 0.0000, 0.7433], [0.3333, 0.6667, 0.9867], [0.6667, 0.3333, 0.8526], [0.0000, 0.0000, 0.2555], [0.3333, 0.6667, 0.4313], [0.6667, 0.3333, 0.5923], [0.6667, 0.3333, 0.1103], [0.0000, 0.0000, 0.9974]],
  "formation_enthalpy_0k_ev_per_atom": -0.191
}

No. 5
{
  "formula": "CaTbGaIr",
  "functional": "PBE-GGA",
  "state": "relaxed",
  "lattice": [[-1.7708, -3.2481, -1.7667], [0.8767, -2.2528, 3.2632], [-4.0737, 3.0627, 3.2089]],
  "species": ["Ir", "Ca", "Tb", "Ga"],
  "frac_coords": [[0.4255, 0.0000, 0.8510], [0.1506, 0.0000, 0.3012], [0.8612, 0.5000, 0.7224], [0.5627, 0.5000, 0.1254]],
  "formation_enthalpy_0k_ev_per_atom": -0.615,
  "de_polymorph_mev_per_atom": 0
}

No. 6
{
  "formula": "TaTi2Ge",
  "functional": "PBE-GGA",
  "state": "relaxed",
  "lattice": [[7.4394, 0.0000, 0.0000], [0.0000, 7.4394, 0.0000], [3.7197, 3.7197, 2.6019]],
  "species": ["Ti", "Ti", "Ti", "Ti", "Ta", "Ta", "Ge", "Ge"],
  "frac_coords": [[0.5959, 0.1250, 0.2500], [0.1541, 0.6250, 0.2500], [0.8750, 0.8459, 0.7500], [0.3750, 0.4041, 0.7500], [0.7500, 0.2500, 0.5000], [0.0000, 0.0000, 0.0000], [0.2500, 0.7500, 0.5000], [0.5000, 0.5000, 0.0000]],
  "formation_enthalpy_0k_ev_per_atom": 0.222
}

No. 7
{
  "formula": "TbNd3Y",
  "functional": "PBE-GGA",
  "state": "relaxed",
  "lattice": [[-3.0946, -0.3883, 1.9622], [-4.3658, -1.8288, -7.2470], [2.1578, -10.9315, -2.2197]],
  "species": ["Nd", "Nd", "Nd", "Nd", "Nd", "Nd", "Tb", "Tb", "Y", "Y"],
  "frac_coords": [[0.3830, 0.0139, 0.7661], [0.0175, 0.7770, 0.0350], [0.6170, 0.9861, 0.2339], [0.9825, 0.2230, 0.9650], [0.8158, 0.3813, 0.6316], [0.1842, 0.6187, 0.3684], [0.2170, 0.1833, 0.4341], [0.7830, 0.8167, 0.5659], [0.4158, 0.5868, 0.8316], [0.5842, 0.4132, 0.1684]],
  "formation_enthalpy_0k_ev_per_atom": 0.025,
  "de_polymorph_mev_per_atom": 0
}

No. 8
{
  "formula": "RbLi2Ni",
  "functional": "PBE-GGA",
  "state": "relaxed",
  "lattice": [[-5.5383, 1.7262, -0.5204], [-1.7841, -5.4894, 0.7789], [-3.9947, -0.7255, 7.5137]],
  "species": ["Rb", "Rb", "Li", "Li", "Li", "Li", "Ni", "Ni"],
  "frac_coords": [[0.7500, 0.2500, 0.5000], [0.0000, 0.0000, 0.0000], [0.3750, 0.1250, 0.2500], [0.3750, 0.6250, 0.2500], [0.8750, 0.6250, 0.7500], [0.3750, 0.6250, 0.7500], [0.2500, 0.7500, 0.5000], [0.5000, 0.5000, 0.0000]],
  "formation_enthalpy_0k_ev_per_atom": 0.511,
  "de_polymorph_mev_per_atom": 0
}

No. 9
{
  "formula": "PrAlAg2Se4",
  "functional": "PBE-GGA",
  "state": "relaxed",
  "lattice": [[-7.7922, 2.9482, 0.4196], [-2.7274, -6.2571, -4.7955], [4.6096, -1.3359, 6.8348]],
  "species": ["Se", "Se", "Se", "Se", "Se", "Se", "Se", "Se", "Ag", "Ag", "Ag", "Ag", "Pr", "Pr", "Al", "Al"],
  "frac_coords": [[0.7105, 0.2680, 0.4807], [0.2993, 0.2899, 0.5214], [0.2895, 0.7320, 0.5194], [0.2101, 0.2007, 0.9786], [0.2320, 0.7895, 0.0193], [0.7899, 0.7993, 0.0214], [0.7680, 0.2105, 0.9807], [0.7007, 0.7101, 0.4786], [0.5000, 0.0000, 0.0000], [0.0000, 0.0000, 0.5000], [0.5000, 0.0000, 0.5000], [0.5000, 0.5000, 0.0000], [0.0000, 0.5000, 0.5000], [0.0000, 0.5000, 0.0000], [0.0000, 0.0000, 0.0000], [0.5000, 0.5000, 0.5000]],
  "formation_energy_uncorrected_kj_per_mol_fu": -581
}

No. 10
{
  "formula": "RbSr2Cr",
  "functional": "PBE-GGA",
  "state": "relaxed",
  "lattice": [[8.4409, 0.0000, 0.0000], [0.0000, 8.4409, 0.0000], [4.2204, 4.2204, 5.9239]],
  "species": ["Sr", "Sr", "Sr", "Sr", "Cr", "Cr", "Rb", "Rb"],
  "frac_coords": [[0.3942, 0.1250, 0.2500], [0.8750, 0.6442, 0.7500], [0.3750, 0.6058, 0.7500], [0.3558, 0.6250, 0.2500], [0.5000, 0.5000, 0.0000], [0.2500, 0.7500, 0.5000], [0.7500, 0.2500, 0.5000], [0.0000, 0.0000, 0.0000]],
  "formation_enthalpy_0k_ev_per_atom": 1.412,
  "de_polymorph_mev_per_atom": 793
}

No. 11
{
  "formula": "Tb5PmSm12",
  "functional": "PBE-GGA",
  "state": "relaxed",
  "lattice": [[-0.3141, 9.1808, 5.7478], [1.0161, -0.3165, 10.7747], [6.1059, -0.5411, 1.1987]],
  "species": ["Tb", "Tb", "Tb", "Tb", "Tb", "Sm", "Sm", "Sm", "Sm", "Sm", "Sm", "Sm", "Sm", "Sm", "Sm", "Sm", "Sm", "Pm"],
  "frac_coords": [[0.1671, 0.6657, 0.5016], [0.5000, 0.0000, 0.5000], [0.8329, 0.3343, 0.4984], [0.6667, 0.6667, 0.9999], [0.3333, 0.3333, 0.0001], [0.3345, 0.0000, 0.0001], [0.8331, 0.0000, 0.4998], [0.6655, 0.0000, 0.9999], [0.3335, 0.6659, 0.0005], [0.8327, 0.6667, 0.4998], [0.4994, 0.3333, 0.5004], [0.1673, 0.3333, 0.5002], [0.5006, 0.6667, 0.4996], [0.1670, 0.0000, 0.5002], [0.0006, 0.6658, 0.0007], [0.6665, 0.3341, 0.9995], [0.9994, 0.3342, 0.9993], [0.0000, 0.0000, 0.0000]],
  "formation_enthalpy_0k_ev_per_atom": 0.015
}

No. 12
{
  "formula": "Tb5Te2Rh",
  "functional": "PBE-GGA",
  "state": "relaxed",
  "lattice": [[5.9286, 0.0000, 0.0000], [-2.9643, 5.9741, 0.0000], [0.0000, 0.0000, 13.9516]],
  "species": ["Tb", "Tb", "Tb", "Tb", "Tb", "Tb", "Tb", "Tb", "Tb", "Tb", "Rh", "Rh", "Te", "Te", "Te", "Te"],
  "frac_coords": [[0.3817, 0.7634, 0.3961], [0.3354, 0.6709, 0.7500], [0.9363, 0.8727, 0.8801], [0.6183, 0.2366, 0.8961], [0.9363, 0.8727, 0.6199], [0.6183, 0.2366, 0.6039], [0.6646, 0.3291, 0.2500], [0.0637, 0.1273, 0.1199], [0.0637, 0.1273, 0.3801], [0.3817, 0.7634, 0.1039], [0.2242, 0.4484, 0.2500], [0.7758, 0.5516, 0.7500], [0.1946, 0.3893, 0.9318], [0.8054, 0.6107, 0.0682], [0.1946, 0.3893, 0.5682], [0.8054, 0.6107, 0.4318]],
  "formation_energy_uncorrected_kj_per_mol_fu": -500
}

No. 13
{
  "formula": "Mo5As3",
  "functional": "PBE-GGA",
  "state": "relaxed",
  "lattice": [[7.4096, 0.0000, 0.0000], [-3.7048, 6.4169, 0.0000], [0.0000, 0.0000, 5.2160]],
  "species": ["Mo", "Mo", "Mo", "Mo", "Mo", "Mo", "Mo", "Mo", "Mo", "Mo", "As", "As", "As", "As", "As", "As"],
  "frac_coords": [[0.2355, 0.2355, 0.7500], [0.0000, 0.7645, 0.7500], [0.2355, 0.0000, 0.2500], [0.0000, 0.2355, 0.2500], [0.7645, 0.7645, 0.2500], [0.3333, 0.6667, 0.0000], [0.7645, 0.0000, 0.7500], [0.6667, 0.3333, 0.0000], [0.6667, 0.3333, 0.5000], [0.3333, 0.6667, 0.5000], [0.0000, 0.6134, 0.2500], [0.0000, 0.3866, 0.7500], [0.6134, 0.6134, 0.7500], [0.6134, 0.0000, 0.2500], [0.3866, 0.3866, 0.2500], [0.3866, 0.0000, 0.7500]],
  "formation_enthalpy_0k_ev_per_atom": 0.042,
  "de_polymorph_mev_per_atom": 84
}

No. 14
{
  "formula": "CaLaNd2Sb4",
  "functional": "PBE-GGA",
  "state": "relaxed",
  "lattice": [[-3.9146, -2.2849, -0.3911], [2.2438, -2.6182, -7.1637], [3.8795, -6.7846, 0.8062]],
  "species": ["Ca", "La", "Sb", "Sb", "Sb", "Sb", "Nd", "Nd"],
  "frac_coords": [[0.5000, 0.5000, 0.0000], [0.0000, 0.5000, 0.5000], [0.0000, 0.2460, 0.2506], [0.5000, 0.7543, 0.2476], [0.0000, 0.7540, 0.7494], [0.5000, 0.2457, 0.7524], [0.5000, 0.0000, 0.5000], [0.0000, 0.0000, 0.0000]],
  "formation_energy_uncorrected_kj_per_mol_fu": -840
}

No. 15
{
  "formula": "BaZrHg2",
  "functional": "PBE-GGA",
  "state": "relaxed",
  "lattice": [[-3.5815, -4.6356, -2.3533], [2.5356, -3.8584, -4.3055], [1.5261, 2.2747, 5.6877]],
  "species": ["Hg", "Hg", "Ba", "Zr"],
  "frac_coords": [[0.2500, 0.7500, 0.5000], [0.0000, 0.0000, 0.0000], [0.7500, 0.2500, 0.5000], [0.5000, 0.5000, 0.0000]],
  "formation_enthalpy_0k_ev_per_atom": 0.145
}

No. 16
{
  "formula": "Zr3AlS",
  "functional": "PBE-GGA",
  "state": "relaxed",
  "lattice": [[-1.9162, 0.6509, 4.3527], [3.9252, -1.8945, 2.0113], [1.9906, 4.3622, 0.2240]],
  "species": ["S", "Zr", "Zr", "Zr", "Al"],
  "frac_coords": [[0.0000, 0.0000, 0.0000], [0.5000, 0.0000, 0.0000], [0.0000, 0.0000, 0.5000], [0.0000, 0.5000, 0.0000], [0.5000, 0.5000, 0.5000]],
  "formation_energy_uncorrected_kj_per_mol_fu": -217,
  "de_polymorph_mev_per_atom": 0
}

No. 17
{
  "formula": "ScAu3",
  "functional": "PBE-GGA",
  "state": "relaxed",
  "lattice": [[-0.5814, -2.1624, -4.8175], [-4.0086, -2.9741, 1.8187], [-3.4373, 3.8342, -1.3062]],
  "species": ["Sc", "Sc", "Au", "Au", "Au", "Au", "Au", "Au"],
  "frac_coords": [[0.5000, 0.5000, 0.5000], [0.0000, 0.0000, 0.0000], [0.7500, 0.5000, 0.0000], [0.5000, 0.0000, 0.2500], [0.5000, 0.0000, 0.7500], [0.0000, 0.7500, 0.5000], [0.2500, 0.5000, 0.0000], [0.0000, 0.2500, 0.5000]],
  "formation_enthalpy_0k_ev_per_atom": -0.601
}

No. 18
{
  "formula": "KWSe2",
  "functional": "PBE-GGA",
  "state": "relaxed",
  "lattice": [[-1.8750, 0.2390, 3.0006], [-2.7859, -1.1771, -1.6471], [2.0383, -7.4436, 1.8666]],
  "species": ["K", "Se", "Se", "W"],
  "frac_coords": [[0.5000, 0.7500, 0.7500], [0.0000, 0.2505, 0.4732], [0.0000, 0.2495, 0.0268], [0.5000, 0.2500, 0.2500]],
  "formation_energy_uncorrected_kj_per_mol_fu": -46,
  "de_polymorph_mev_per_atom": 205
}

No. 19
{
  "formula": "TbPm2ScP4",
  "functional": "PBE-GGA",
  "state": "relaxed",
  "lattice": [[4.0241, 0.0000, 0.0000], [0.0000, 6.9571, 0.1206], [0.0000, -2.4335, 6.5094]],
  "species": ["Pm", "Pm", "P", "P", "P", "P", "Tb", "Sc"],
  "frac_coords": [[0.5000, 0.0000, 0.5000], [0.0000, 0.5000, 0.5000], [0.0000, 0.2469, 0.7616], [0.0000, 0.7531, 0.2384], [0.5000, 0.2375, 0.2333], [0.5000, 0.7625, 0.7667], [0.5000, 0.5000, 0.0000], [0.0000, 0.0000, 0.0000]],
  "formation_enthalpy_0k_ev_per_atom": -1.525
}

No. 20
{
  "formula": "Nb2F13",
  "functional": "PBE-GGA",
  "state": "relaxed",
  "lattice": [[5.2447, -0.1900, 0.2514], [-0.9236, 6.3389, 0.3998], [-0.1398, -2.7402, 6.6105]],
  "species": ["Nb", "Nb", "F", "F", "F", "F", "F", "F", "F", "F", "F", "F", "F", "F", "F"],
  "frac_coords": [[0.8418, 0.8741, 0.6712], [0.1582, 0.1259, 0.3288], [0.4697, 0.1250, 0.1944], [0.1887, 0.9241, 0.5210], [0.5303, 0.8750, 0.8056], [0.0000, 0.0000, 0.0000], [0.9791, 0.6422, 0.7095], [0.0209, 0.3578, 0.2905], [0.3369, 0.3235, 0.5550], [0.3703, 0.4446, 0.9712], [0.6297, 0.5554, 0.0288], [0.6631, 0.6765, 0.4450], [0.8113, 0.0759, 0.4790], [0.0548, 0.8046, 0.1773], [0.9452, 0.1954, 0.8227]],
  "formation_energy_uncorrected_kj_per_mol_fu": -3372
}

No. 21
{
  "formula": "Eu2SnSb",
  "functional": "PBE-GGA",
  "state": "relaxed",
  "lattice": [[-2.4556, 3.7034, -3.3639], [0.9203, -0.1861, -5.4935], [-4.0593, -1.6334, -3.4517]],
  "species": ["Eu", "Eu", "Sn", "Sb"],
  "frac_coords": [[0.2500, 0.2500, 0.2500], [0.7500, 0.7500, 0.7500], [0.5000, 0.5000, 0.5000], [0.0000, 0.0000, 0.0000]],
  "formation_energy_uncorrected_kj_per_mol_fu": -270,
  "de_polymorph_mev_per_atom": 69
}

No. 22
{
  "formula": "Nd9Tm4Cd11",
  "functional": "PBE-GGA",
  "state": "relaxed",
  "lattice": [[3.5373, 0.0000, 0.0000], [0.0000, 13.2172, -5.4207], [0.0000, 0.2095, 14.2840]],
  "species": ["Tm", "Tm", "Tm", "Tm", "Cd", "Cd", "Cd", "Cd", "Cd", "Cd", "Cd", "Cd", "Cd", "Cd", "Cd", "Nd", "Nd", "Nd", "Nd", "Nd", "Nd", "Nd", "Nd", "Nd"],
  "frac_coords": [[0.5000, 0.5554, 0.7475], [0.5000, 0.7475, 0.5554], [0.5000, 0.2525, 0.4446], [0.5000, 0.4446, 0.2525], [0.0000, 0.2714, 0.2714], [0.0000, 0.9409, 0.5826], [0.0000, 0.1625, 0.8375], [0.0000, 0.7286, 0.7286], [0.0000, 0.0591, 0.4174], [0.0000, 0.4174, 0.0591], [0.0000, 0.8375, 0.1625], [0.0000, 0.5826, 0.9409], [0.0000, 0.3628, 0.6372], [0.0000, 0.0000, 0.0000], [0.0000, 0.6372, 0.3628], [0.5000, 0.1462, 0.6319], [0.5000, 0.9535, 0.7899], [0.5000, 0.0465, 0.2101], [0.5000, 0.3681, 0.8538], [0.5000, 0.2101, 0.0465], [0.5000, 0.7899, 0.9535], [0.5000, 0.8538, 0.3681], [0.5000, 0.6319, 0.1462], [0.5000, 0.5000, 0.5000]],
  "formation_enthalpy_0k_ev_per_atom": -0.238
}

No. 23
{
  "formula": "Zr2MnIr",
  "functional": "PBE-GGA",
  "state": "relaxed",
  "lattice": [[-2.9933, 4.3959, -1.5302], [-2.5738, 0.0038, -4.8990], [0.5476, -2.7814, 4.7528]],
  "species": ["Zr", "Zr", "Mn", "Ir"],
  "frac_coords": [[0.0026, 0.0026, 0.0000], [0.7390, 0.2390, 0.5000], [0.2619, 0.7619, 0.5000], [0.4965, 0.4965, 0.0000]],
  "formation_enthalpy_0k_ev_per_atom": -0.330
}

no.,final energy (eV per atom)
1,-4.885
2,-5.623
3,-7.577
4,-4.288
5,-5.245
6,-7.843
7,-5.055
8,-2.133
9,-4.273
10,-2.077
11,-4.681
12,-5.246
13,-8.471
14,-5.208
15,-2.623
16,-7.153
17,-4.642
18,-5.373
19,-6.788
20,-5.294
21,-7.867
22,-3.191
23,-9.112